No. 1
Cs2Ca2Pt (GGA-PBEsol, optimized geometry); density of states at the Fermi level = 8.41 states/eV/cell; formation energy from the elements = 550 meV/atom
1.0
4.368 0.000 0.000
0.000 4.368 0.000
0.000 0.000 20.926
Cs Ca Pt
4 4 2
direct
0.000 0.500 0.250 Cs
0.000 0.500 0.750 Cs
0.500 0.000 0.250 Cs
0.500 0.000 0.750 Cs
0.000 0.000 0.072 Ca
0.000 0.000 0.928 Ca
0.500 0.500 0.428 Ca
0.500 0.500 0.572 Ca
0.000 0.000 0.500 Pt
0.500 0.500 0.000 Pt


No. 2
TcP2Au (GGA-PBEsol, optimized geometry); density of states at the Fermi level = 2.73 states/eV/cell; formation energy from the elements = 67 meV/atom; offset from the most stable computed form = 0 meV per atom
1.0
3.424 0.000 0.000
0.000 3.424 0.000
0.000 0.000 5.018
Tc P Au
1 2 1
direct
0.000 0.000 0.000 Tc
0.000 0.000 0.482 P
0.500 0.500 0.855 P
0.500 0.500 0.349 Au


No. 3
RhW2Se (GGA-PBEsol, optimized geometry); energy relative to the elements, uncorrected = 7.4 kcal/mol of atoms; density of states at the Fermi level = 3.46 states/eV/cell
1.0
2.837 0.000 0.000
0.000 4.082 0.000
-1.300 0.000 5.214
Rh W Se
1 2 1
direct
0.000 0.000 0.000 Rh
0.428 0.500 0.746 W
0.572 0.500 0.254 W
0.000 0.000 0.500 Se


No. 4
Mg2InCl (GGA-PBEsol, optimized geometry); energy relative to the elements, uncorrected = -10.1 kcal/mol of atoms; density of states at the Fermi level = 2.58 states/eV/cell; offset from the most stable computed form = 28 meV per atom
1.0
7.464 0.000 0.000
0.000 7.494 0.000
-0.471 0.000 3.169
Mg In Cl
4 2 2
direct
0.250 0.250 0.000 Mg
0.250 0.750 0.000 Mg
0.750 0.250 0.000 Mg
0.750 0.750 0.000 Mg
0.000 0.000 0.500 In
0.500 0.500 0.500 In
0.000 0.500 0.500 Cl
0.500 0.000 0.500 Cl


No. 5
CuHgBr (GGA-PBEsol, optimized geometry); energy relative to the elements, uncorrected = 12.0 kcal/mol of atoms; density of states at the Fermi level = 5.00 states/eV/cell; offset from the most stable computed form = 468 meV per atom
1.0
6.606 0.000 0.000
0.000 6.606 0.000
0.000 0.000 6.606
Cu Hg Br
4 4 4
direct
0.000 0.000 0.000 Cu
0.000 0.500 0.500 Cu
0.500 0.000 0.500 Cu
0.500 0.500 0.000 Cu
0.250 0.250 0.250 Hg
0.250 0.750 0.750 Hg
0.750 0.250 0.750 Hg
0.750 0.750 0.250 Hg
0.000 0.000 0.500 Br
0.000 0.500 0.000 Br
0.500 0.000 0.000 Br
0.500 0.500 0.500 Br


No. 6
KNd3Te8 (GGA-PBEsol, optimized geometry); energy relative to the elements, uncorrected = -26.5 kcal/mol of atoms
1.0
14.056 0.000 0.000
0.000 12.739 0.000
-1.397 0.000 8.756
K Nd Te
4 12 32
direct
0.036 0.092 0.258 K
0.036 0.408 0.758 K
0.964 0.592 0.242 K
0.964 0.908 0.742 K
0.347 0.749 0.087 Nd
0.347 0.751 0.587 Nd
0.349 0.085 0.081 Nd
0.349 0.415 0.581 Nd
0.351 0.084 0.595 Nd
0.351 0.416 0.095 Nd
0.649 0.584 0.905 Nd
0.649 0.916 0.405 Nd
0.651 0.585 0.419 Nd
0.651 0.915 0.919 Nd
0.653 0.249 0.413 Nd
0.653 0.251 0.913 Nd
0.166 0.733 0.791 Te
0.166 0.767 0.291 Te
0.170 0.580 0.553 Te
0.170 0.920 0.053 Te
0.171 0.580 0.032 Te
0.171 0.920 0.532 Te
0.172 0.094 0.792 Te
0.172 0.406 0.292 Te
0.174 0.249 0.543 Te
0.174 0.251 0.043 Te
0.414 0.580 0.851 Te
0.414 0.920 0.351 Te
0.417 0.585 0.356 Te
0.417 0.915 0.856 Te
0.419 0.246 0.355 Te
0.419 0.254 0.855 Te
0.581 0.746 0.145 Te
0.581 0.754 0.645 Te
0.583 0.085 0.144 Te
0.583 0.415 0.644 Te
0.586 0.080 0.649 Te
0.586 0.420 0.149 Te
0.826 0.749 0.957 Te
0.826 0.751 0.457 Te
0.828 0.594 0.708 Te
0.828 0.906 0.208 Te
0.829 0.080 0.468 Te
0.829 0.420 0.968 Te
0.830 0.080 0.947 Te
0.830 0.420 0.447 Te
0.834 0.233 0.709 Te
0.834 0.267 0.209 Te


No. 7
SrCaZn4 (GGA-PBEsol, optimized geometry); density of states at the Fermi level = 3.74 states/eV/cell; formation energy from the elements = -205 meV/atom
1.0
0.000 3.934 3.934
3.934 0.000 3.934
3.934 3.934 0.000
Sr Ca Zn
1 1 4
direct
0.000 0.000 0.000 Sr
0.750 0.750 0.750 Ca
0.375 0.375 0.375 Zn
0.375 0.375 0.874 Zn
0.375 0.874 0.375 Zn
0.874 0.375 0.375 Zn


No. 8
Nb3HgF (GGA-PBEsol, optimized geometry); energy relative to the elements, uncorrected = 47.8 kcal/mol of atoms; density of states at the Fermi level = 9.10 states/eV/cell
1.0
5.058 0.000 0.000
0.000 5.058 0.000
0.000 0.000 5.058
Nb Hg F
3 1 1
direct
0.000 0.000 0.500 Nb
0.000 0.500 0.000 Nb
0.500 0.000 0.000 Nb
0.000 0.000 0.000 Hg
0.500 0.500 0.500 F


No. 9
KY (GGA-PBEsol, optimized geometry); density of states at the Fermi level = 12.42 states/eV/cell; formation energy from the elements = 725 meV/atom
1.0
6.138 0.000 0.000
0.000 6.138 0.000
0.000 0.000 8.703
K Y
4 4
direct
0.000 0.250 0.375 K
0.000 0.750 0.625 K
0.500 0.250 0.125 K
0.500 0.750 0.875 K
0.000 0.250 0.875 Y
0.000 0.750 0.125 Y
0.500 0.250 0.625 Y
0.500 0.750 0.375 Y


No. 10
Zr2ScRh (GGA-PBEsol, optimized geometry); density of states at the Fermi level = 8.43 states/eV/cell; formation energy from the elements = -428 meV/atom
1.0
3.340 0.000 0.000
0.000 4.792 0.000
0.000 0.000 9.684
Zr Sc Rh
4 2 2
direct
0.000 0.000 0.222 Zr
0.000 0.000 0.778 Zr
0.500 0.500 0.278 Zr
0.500 0.500 0.722 Zr
0.000 0.500 0.000 Sc
0.500 0.000 0.500 Sc
0.000 0.500 0.500 Rh
0.500 0.000 0.000 Rh


No. 11
KCrRe2P (GGA-PBEsol, optimized geometry); density of states at the Fermi level = 6.14 states/eV/cell; formation energy from the elements = 2041 meV/atom
1.0
4.409 0.000 0.000
0.000 4.409 0.000
0.000 0.000 5.010
K Cr Re P
1 1 2 1
direct
0.000 0.000 0.000 K
0.000 0.000 0.500 Cr
0.000 0.500 0.500 Re
0.500 0.000 0.500 Re
0.500 0.500 0.000 P


No. 12
LiMn4Ir (GGA-PBEsol, optimized geometry); density of states at the Fermi level = 5.40 states/eV/cell; formation energy from the elements = 157 meV/atom
1.0
0.000 3.240 3.240
3.240 0.000 3.240
3.240 3.240 0.000
Li Mn Ir
1 4 1
direct
0.000 0.000 0.000 Li
0.373 0.373 0.373 Mn
0.373 0.373 0.881 Mn
0.373 0.881 0.373 Mn
0.881 0.373 0.373 Mn
0.750 0.750 0.750 Ir


No. 13
ZnCr2Hg (GGA-PBEsol, optimized geometry); density of states at the Fermi level = 1.73 states/eV/cell; formation energy from the elements = 249 meV/atom; offset from the most stable computed form = 0 meV per atom
1.0
3.002 0.000 0.000
0.000 3.002 0.000
0.000 0.000 6.372
Zn Cr Hg
1 2 1
direct
0.000 0.000 0.000 Zn
0.000 0.000 0.409 Cr
0.500 0.500 0.251 Cr
0.500 0.500 0.712 Hg


No. 14
TlP2Pd (GGA-PBEsol, optimized geometry); density of states at the Fermi level = 8.38 states/eV/cell; formation energy from the elements = 115 meV/atom; offset from the most stable computed form = 0 meV per atom
1.0
5.554 0.000 0.000
0.000 5.554 0.000
0.000 0.000 11.755
Tl P Pd
4 8 4
direct
0.000 0.000 0.000 Tl
0.000 0.500 0.250 Tl
0.500 0.000 0.750 Tl
0.500 0.500 0.500 Tl
0.191 0.250 0.625 P
0.250 0.691 0.875 P
0.250 0.809 0.375 P
0.309 0.250 0.125 P
0.691 0.750 0.125 P
0.750 0.191 0.375 P
0.750 0.309 0.875 P
0.809 0.750 0.625 P
0.000 0.000 0.500 Pd
0.000 0.500 0.750 Pd
0.500 0.000 0.250 Pd
0.500 0.500 0.000 Pd


No. 15
BaV2P2O10 (GGA-PBEsol, optimized geometry); energy relative to the elements, uncorrected = -57.1 kcal/mol of atoms
1.0
5.231 0.000 0.000
0.000 9.209 0.000
-0.831 0.000 16.171
Ba V P O
4 8 8 40
direct
0.002 0.204 0.318 Ba
0.002 0.296 0.818 Ba
0.998 0.704 0.182 Ba
0.998 0.796 0.682 Ba
0.122 0.184 0.563 V
0.122 0.316 0.063 V
0.457 0.548 0.341 V
0.457 0.952 0.841 V
0.543 0.048 0.159 V
0.543 0.452 0.659 V
0.878 0.684 0.937 V
0.878 0.816 0.437 V
0.380 0.594 0.831 P
0.380 0.906 0.331 P
0.390 0.701 0.526 P
0.390 0.799 0.026 P
0.610 0.201 0.974 P
0.610 0.299 0.474 P
0.620 0.094 0.669 P
0.620 0.406 0.169 P
0.132 0.571 0.878 O
0.132 0.929 0.378 O
0.152 0.696 0.025 O
0.152 0.804 0.525 O
0.173 0.170 0.117 O
0.173 0.330 0.617 O
0.194 0.023 0.801 O
0.194 0.477 0.301 O
0.348 0.017 0.259 O
0.348 0.483 0.759 O
0.350 0.217 0.472 O
0.350 0.283 0.972 O
0.362 0.603 0.450 O
0.362 0.897 0.950 O
0.374 0.058 0.617 O
0.374 0.442 0.117 O
0.374 0.622 0.610 O
0.374 0.878 0.110 O
0.390 0.750 0.296 O
0.390 0.750 0.796 O
0.610 0.250 0.204 O
0.610 0.250 0.704 O
0.626 0.122 0.890 O
0.626 0.378 0.390 O
0.626 0.558 0.883 O
0.626 0.942 0.383 O
0.638 0.103 0.050 O
0.638 0.397 0.550 O
0.650 0.717 0.028 O
0.650 0.783 0.528 O
0.652 0.517 0.241 O
0.652 0.983 0.741 O
0.806 0.523 0.699 O
0.806 0.977 0.199 O
0.827 0.670 0.383 O
0.827 0.830 0.883 O
0.848 0.196 0.475 O
0.848 0.304 0.975 O
0.868 0.071 0.622 O
0.868 0.429 0.122 O


No. 16
LiAg3 (GGA-PBEsol, optimized geometry); density of states at the Fermi level = 4.62 states/eV/cell; formation energy from the elements = -73 meV/atom
1.0
2.864 0.000 0.000
-1.432 2.480 0.000
0.000 0.000 27.276
Li Ag
3 9
direct
0.000 0.000 0.000 Li
0.333 0.667 0.667 Li
0.667 0.333 0.333 Li
0.000 0.000 0.253 Ag
0.000 0.000 0.500 Ag
0.000 0.000 0.747 Ag
0.333 0.667 0.167 Ag
0.333 0.667 0.414 Ag
0.333 0.667 0.919 Ag
0.667 0.333 0.081 Ag
0.667 0.333 0.586 Ag
0.667 0.333 0.833 Ag


No. 17
Sc2AsH2 (GGA-PBEsol, optimized geometry); density of states at the Fermi level = 5.20 states/eV/cell; uncorrected energy = -29.4 eV per formula unit
1.0
3.408 0.000 0.000
0.000 3.408 0.000
0.000 0.000 10.650
Sc As H
4 2 4
direct
0.000 0.000 0.139 Sc
0.000 0.000 0.861 Sc
0.500 0.500 0.361 Sc
0.500 0.500 0.639 Sc
0.000 0.000 0.500 As
0.500 0.500 0.000 As
0.000 0.500 0.250 H
0.000 0.500 0.750 H
0.500 0.000 0.250 H
0.500 0.000 0.750 H


No. 18
MoIr2Os (GGA-PBEsol, optimized geometry); density of states at the Fermi level = 6.08 states/eV/cell; formation energy from the elements = -154 meV/atom; offset from the most stable computed form = 97 meV per atom
1.0
3.866 0.000 0.000
0.000 3.866 0.000
0.000 0.000 7.627
Mo Ir Os
2 4 2
direct
0.000 0.000 0.000 Mo
0.500 0.500 0.500 Mo
0.000 0.000 0.500 Ir
0.000 0.500 0.250 Ir
0.500 0.000 0.750 Ir
0.500 0.500 0.000 Ir
0.000 0.500 0.750 Os
0.500 0.000 0.250 Os


No. 19
Al3Os2 (GGA-PBEsol, optimized geometry); density of states at the Fermi level = 4.07 states/eV/cell; formation energy from the elements = -482 meV/atom
1.0
3.103 0.000 0.000
0.000 3.103 0.000
0.000 0.000 14.159
Al Os
6 4
direct
0.000 0.000 0.000 Al
0.000 0.000 0.196 Al
0.000 0.000 0.804 Al
0.500 0.500 0.304 Al
0.500 0.500 0.500 Al
0.500 0.500 0.696 Al
0.000 0.000 0.393 Os
0.000 0.000 0.607 Os
0.500 0.500 0.107 Os
0.500 0.500 0.893 Os


No. 20
Cd3BPd (GGA-PBEsol, optimized geometry); density of states at the Fermi level = 2.56 states/eV/cell; formation energy from the elements = 1107 meV/atom
1.0
5.031 0.000 0.000
0.000 5.031 0.000
0.000 0.000 5.031
Cd B Pd
3 1 1
direct
0.000 0.000 0.500 Cd
0.000 0.500 0.000 Cd
0.500 0.000 0.000 Cd
0.500 0.500 0.500 B
0.000 0.000 0.000 Pd


No. 21
NiHgAs (GGA-PBEsol, optimized geometry); density of states at the Fermi level = 5.87 states/eV/cell; formation energy from the elements = 58 meV/atom; offset from the most stable computed form = 46 meV per atom
1.0
5.942 0.000 0.000
0.000 5.942 0.000
0.000 0.000 5.942
Ni Hg As
4 4 4
direct
0.000 0.000 0.000 Ni
0.000 0.500 0.500 Ni
0.500 0.000 0.500 Ni
0.500 0.500 0.000 Ni
0.250 0.250 0.250 Hg
0.250 0.750 0.750 Hg
0.750 0.250 0.750 Hg
0.750 0.750 0.250 Hg
0.250 0.250 0.750 As
0.250 0.750 0.250 As
0.750 0.250 0.250 As
0.750 0.750 0.750 As


No. 22
AlSb2Pt (GGA-PBEsol, optimized geometry); energy relative to the elements, uncorrected = -6.5 kcal/mol of atoms; density of states at the Fermi level = 4.13 states/eV/cell
1.0
7.892 0.000 0.000
0.000 3.802 0.000
-1.946 0.000 5.848
Al Sb Pt
2 4 2
direct
0.000 0.000 0.000 Al
0.500 0.500 0.000 Al
0.216 0.000 0.742 Sb
0.475 0.000 0.356 Sb
0.716 0.500 0.742 Sb
0.975 0.500 0.356 Sb
0.225 0.500 0.112 Pt
0.725 0.000 0.112 Pt


No. 23
MgTlW2 (GGA-PBEsol, optimized geometry); density of states at the Fermi level = 8.18 states/eV/cell; formation energy from the elements = 850 meV/atom; offset from the most stable computed form = 281 meV per atom
1.0
2.915 0.000 0.000
-1.458 2.525 0.000
0.000 0.000 29.193
Mg Tl W
3 3 6
direct
0.000 0.000 0.000 Mg
0.333 0.667 0.667 Mg
0.667 0.333 0.333 Mg
0.000 0.000 0.500 Tl
0.333 0.667 0.167 Tl
0.667 0.333 0.833 Tl
0.000 0.000 0.251 W
0.000 0.000 0.749 W
0.333 0.667 0.416 W
0.333 0.667 0.917 W
0.667 0.333 0.083 W
0.667 0.333 0.584 W


No. 24
CdCo3Pt (GGA-PBEsol, optimized geometry); density of states at the Fermi level = 6.68 states/eV/cell; formation energy from the elements = 1248 meV/atom
1.0
4.540 0.000 0.000
0.000 4.540 0.000
0.000 0.000 4.540
Cd Co Pt
1 3 1
direct
0.000 0.000 0.000 Cd
0.000 0.500 0.500 Co
0.500 0.000 0.500 Co
0.500 0.500 0.000 Co
0.500 0.500 0.500 Pt